Version w
# PBE ZrAs2BrO, relaxed
# - magnetization (μB per formula unit) = 0.0
data_ZrAs2BrO
_space_group_name_H-M_alt 'P 4/m m m'
_space_group_IT_number 123
_space_group_name_Hall '-P 4 2'
_cell_length_a 5.476
_cell_length_b 5.476
_cell_length_c 4.000
_cell_angle_alpha 90.00
_cell_angle_beta 90.00
_cell_angle_gamma 90.00
loop_
_atom_site_label
_atom_site_fract_x
_atom_site_fract_y
_atom_site_fract_z
_atom_site_occupancy
Zr1 0.000 0.000 0.000 1
As1 0.000 0.500 0.000 1
Br1 0.500 0.500 0.500 1
O1 0.000 0.000 0.500 1

Version x
# PBE ZrAs2BrO, relaxed
# - magnetization (μB per formula unit) = 0.0
data_ZrAs2BrO
_space_group_name_H-M_alt 'P 4/m m m'
_space_group_IT_number 123
_space_group_name_Hall '-P 4 2'
_cell_length_a 4.119
_cell_length_b 4.119
_cell_length_c 5.452
_cell_angle_alpha 90.00
_cell_angle_beta 90.00
_cell_angle_gamma 90.00
loop_
_atom_site_label
_atom_site_fract_x
_atom_site_fract_y
_atom_site_fract_z
_atom_site_occupancy
Zr1 0.000 0.000 0.000 1
As1 0.000 0.500 0.500 1
Br1 0.500 0.500 0.000 1
O1 0.500 0.500 0.500 1

Version y
# PBE ZrAs2BrO, relaxed
# - magnetization (μB per formula unit) = 1.6
data_ZrAs2BrO
_space_group_name_H-M_alt 'P 4/m m m'
_space_group_IT_number 123
_space_group_name_Hall '-P 4 2'
_cell_length_a 5.252
_cell_length_b 5.252
_cell_length_c 5.264
_cell_angle_alpha 90.00
_cell_angle_beta 90.00
_cell_angle_gamma 90.00
loop_
_atom_site_label
_atom_site_fract_x
_atom_site_fract_y
_atom_site_fract_z
_atom_site_occupancy
Zr1 0.000 0.000 0.000 1
As1 0.000 0.500 0.000 1
Br1 0.000 0.000 0.500 1
O1 0.500 0.500 0.500 1

What is the stability order? It is version w, version x, version y, from most stable to least stable.

Version w
# PBE As2OsBr2, relaxed
# - magnetization (μB per formula unit) = 1.0
data_As2OsBr2
_space_group_name_H-M_alt 'I 4/m m m'
_space_group_IT_number 139
_space_group_name_Hall '-I 4 2'
_cell_length_a 3.639
_cell_length_b 3.639
_cell_length_c 20.317
_cell_angle_alpha 90.00
_cell_angle_beta 90.00
_cell_angle_gamma 90.00
loop_
_atom_site_label
_atom_site_fract_x
_atom_site_fract_y
_atom_site_fract_z
_atom_site_occupancy
As1 0.000 0.000 0.061 1
Os1 0.000 0.000 0.500 1
Br1 0.000 0.500 0.250 1

Version x
# PBE As2OsBr2, relaxed
# - magnetization (μB per formula unit) = 2.0
data_As2OsBr2
_space_group_name_H-M_alt 'P 4/m b m'
_space_group_IT_number 127
_space_group_name_Hall '-P 4 2ab'
_cell_length_a 6.530
_cell_length_b 6.530
_cell_length_c 5.365
_cell_angle_alpha 90.00
_cell_angle_beta 90.00
_cell_angle_gamma 90.00
loop_
_atom_site_label
_atom_site_fract_x
_atom_site_fract_y
_atom_site_fract_z
_atom_site_occupancy
As1 0.144 0.356 0.000 1
Os1 0.000 0.000 0.000 1
Br1 0.189 0.311 0.500 1

What is the stability order? It is version x, version w, from most stable to least stable.

Version w
# PBE AsOsBr3, relaxed
# - magnetization (μB per formula unit) = 1.0
data_AsOsBr3
_space_group_name_H-M_alt 'P m -3 m'
_space_group_IT_number 221
_space_group_name_Hall '-P 4 2 3'
_cell_length_a 5.085
_cell_length_b 5.085
_cell_length_c 5.085
_cell_angle_alpha 90.00
_cell_angle_beta 90.00
_cell_angle_gamma 90.00
loop_
_atom_site_label
_atom_site_fract_x
_atom_site_fract_y
_atom_site_fract_z
_atom_site_occupancy
As1 0.000 0.000 0.000 1
Os1 0.500 0.500 0.500 1
Br1 0.000 0.500 0.500 1

Version x
# PBE AsOsBr3, relaxed
# - magnetization (μB per formula unit) = 4.5
data_AsOsBr3
_space_group_name_H-M_alt 'P m -3 m'
_space_group_IT_number 221
_space_group_name_Hall '-P 4 2 3'
_cell_length_a 5.342
_cell_length_b 5.342
_cell_length_c 5.342
_cell_angle_alpha 90.00
_cell_angle_beta 90.00
_cell_angle_gamma 90.00
loop_
_atom_site_label
_atom_site_fract_x
_atom_site_fract_y
_atom_site_fract_z
_atom_site_occupancy
As1 0.000 0.000 0.000 1
Os1 0.500 0.500 0.500 1
Br1 0.000 0.000 0.500 1

What is the stability order? It is version w, version x, from most stable to least stable.